First-principles (PBE) data for a geometry-optimized Ac2Pu2Ge5 structure, as listed in Alexandria via LeMat-Bulk.

It has space group Cmce (No. 64), with a = 15.374 Å, b = 7.794 Å, c = 7.841 Å, α = 90.00°, β = 90.00° and γ = 90.00°. Symmetry generates all atoms from Ac at (0.211, 0.000, 0.000), Pu at (0.000, 0.131, 0.369), Ge at (0.000, 0.000, 0.000) and Ge at (0.119, 0.171, 0.670).

The total energy comes out at -0.5211 Ry/atom. The value obtained for the calculated formation energy is -41 kJ/mol of atoms.

***

First-principles (PBE) data for a geometry-optimized Ac2Pu2Ge3 structure, as listed in Alexandria via LeMat-Bulk.

It has space group C2/m (No. 12), with a = 14.746 Å, b = 4.927 Å, c = 6.434 Å, α = 90.00°, β = 115.64° and γ = 90.00°. Symmetry generates all atoms from Ac at (0.143, 0.000, 0.051), Pu at (0.100, 0.500, 0.434), Ge at (0.000, 0.000, 0.500) and Ge at (0.217, 0.000, 0.661).

The total energy comes out at -0.5567 Ry/atom. The value obtained for the calculated formation energy is -32 kJ/mol of atoms.

***

First-principles (PBE) data for a geometry-optimized Ac2PuGe3Rh4 structure, as listed in Alexandria via LeMat-Bulk.

It has space group P-4m2 (No. 115), with a = 4.339 Å, b = 4.339 Å, c = 11.060 Å, α = 90.00°, β = 90.00° and γ = 90.00°. Symmetry generates all atoms from Ac at (0.000, 0.500, 0.237), Pu at (0.000, 0.000, 0.500), Ge at (0.000, 0.500, 0.881), Ge at (0.500, 0.500, 0.500), Rh at (0.000, 0.000, 0.000), Rh at (0.000, 0.500, 0.651) and Rh at (0.500, 0.500, 0.000).

The total energy comes out at -0.5423 Ry/atom. The value obtained for the calculated formation energy is -77 kJ/mol of atoms.

***

First-principles (PBE) data for a geometry-optimized AcPuGe2Ru structure, as listed in Alexandria via LeMat-Bulk.

It has space group I-4m2 (No. 119), with a = 4.304 Å, b = 4.304 Å, c = 12.532 Å, α = 90.00°, β = 90.00° and γ = 90.00°. Symmetry generates all atoms from Ac at (0.000, 0.000, 0.000), Pu at (0.000, 0.500, 0.250), Ge at (0.000, 0.000, 0.397) and Ru at (0.000, 0.500, 0.750).

The total energy comes out at -0.5720 Ry/atom. The value obtained for the calculated formation energy is -38 kJ/mol of atoms.

***

First-principles (PBE) data for a geometry-optimized AcPuGeSb structure, as listed in Alexandria via LeMat-Bulk.

It has space group F-43m (No. 216), with a = 7.728 Å, b = 7.728 Å, c = 7.728 Å, α = 90.00°, β = 90.00° and γ = 90.00°. Symmetry generates all atoms from Ac at (0.000, 0.000, 0.000), Pu at (0.000, 0.000, 0.500), Ge at (0.250, 0.250, 0.250) and Sb at (0.250, 0.250, 0.750).

The calculation puts the formation energy (no corrections) at -1.9 eV per formula unit. The total energy comes out at -0.5338 Ry/atom.

***

First-principles (PBE) data for a geometry-optimized AcPuGeSe structure, as listed in Alexandria via LeMat-Bulk.

It has space group F-43m (No. 216), with a = 7.502 Å, b = 7.502 Å, c = 7.502 Å, α = 90.00°, β = 90.00° and γ = 90.00°. Symmetry generates all atoms from Ac at (0.000, 0.000, 0.000), Pu at (0.000, 0.000, 0.500), Ge at (0.250, 0.250, 0.250) and Se at (0.250, 0.250, 0.750).

The calculation puts the formation energy (no corrections) at -3.3 eV per formula unit. The total energy comes out at -0.5489 Ry/atom.

***

First-principles (PBE) data for a geometry-optimized AcPuGeTe structure, as listed in Alexandria via LeMat-Bulk.

It has space group F-43m (No. 216), with a = 7.737 Å, b = 7.737 Å, c = 7.737 Å, α = 90.00°, β = 90.00° and γ = 90.00°. Symmetry generates all atoms from Ac at (0.000, 0.000, 0.000), Pu at (0.000, 0.000, 0.500), Ge at (0.250, 0.250, 0.750) and Te at (0.250, 0.250, 0.250).

The calculation puts the formation energy (no corrections) at -2.6 eV per formula unit. The total energy comes out at -0.5297 Ry/atom.

***

First-principles (PBE) data for a geometry-optimized AcPuZn2Ge2 structure, as listed in Alexandria via LeMat-Bulk.

It has space group P-3m1 (No. 164), with a = 4.3101 Å, b = 4.3101 Å, c = 8.6645 Å, α = 90.00°, β = 90.00° and γ = 120.00°. Symmetry generates all atoms from Ac at (0.0000, 0.0000, 0.0000), Pu at (0.0000, 0.0000, 0.5000), Zn at (0.3333, 0.6667, 0.7300) and Ge at (0.3333, 0.6667, 0.2714).

The total energy comes out at -0.4042 Ry/atom. The value obtained for the calculated formation energy is -45 kJ/mol of atoms.

***

First-principles (PBE) data for a geometry-optimized AcPu2Zn2Ge2 structure, as listed in Alexandria via LeMat-Bulk.

It has space group R-3m (No. 166, hexagonal axes), with a = 4.1188 Å, b = 4.1188 Å, c = 29.1654 Å, α = 90.00°, β = 90.00° and γ = 120.00°. Symmetry generates all atoms from Ac at (0.0000, 0.0000, 0.0000), Pu at (0.0000, 0.0000, 0.1534), Zn at (0.0000, 0.0000, 0.4210) and Ge at (0.0000, 0.0000, 0.2558).

The total energy comes out at -0.4814 Ry/atom. The value obtained for the calculated formation energy is -18 kJ/mol of atoms.

***

First-principles (PBE) data for a geometry-optimized Rb3Ac5Ge12 structure, as listed in Alexandria via LeMat-Bulk.

It has space group Ia-3d (No. 230), with a = 18.281 Å, b = 18.281 Å, c = 18.281 Å, α = 90.00°, β = 90.00° and γ = 90.00°. Symmetry generates all atoms from Rb at (0.000, 0.250, 0.125), Ac at (0.000, 0.000, 0.000), Ac at (0.000, 0.250, 0.375) and Ge at (0.020, 0.081, 0.145).

The total energy comes out at -0.2727 Ry/atom. The value obtained for the calculated formation energy is 22 kJ/mol of atoms.

***

First-principles (PBE) data for a geometry-optimized RbAc2Ge structure, as listed in Alexandria via LeMat-Bulk.

It has space group P4/mmm (No. 123), with a = 4.054 Å, b = 4.054 Å, c = 11.124 Å, α = 90.00°, β = 90.00° and γ = 90.00°. Symmetry generates all atoms from Rb at (0.000, 0.000, 0.000), Ac at (0.500, 0.500, 0.350) and Ge at (0.000, 0.000, 0.500).

The total energy comes out at -0.2634 Ry/atom. The value obtained for the calculated formation energy is -13 kJ/mol of atoms.

***

First-principles (PBE) data for a geometry-optimized RbAcGe structure, as listed in Alexandria via LeMat-Bulk.

It has space group C2/m (No. 12), with a = 8.065 Å, b = 8.052 Å, c = 8.267 Å, α = 90.00°, β = 93.05° and γ = 90.00°. Symmetry generates all atoms from Rb at (0.000, 0.246, 0.000), Ac at (0.000, 0.257, 0.500) and Ge at (0.247, 0.000, 0.685).

The total energy comes out at -0.2548 Ry/atom. The value obtained for the calculated formation energy is -23 kJ/mol of atoms.

***

First-principles (PBE) data for a geometry-optimized RbAc2Ge structure, as listed in Alexandria via LeMat-Bulk.

It has space group R-3m (No. 166, hexagonal axes), with a = 4.4384 Å, b = 4.4384 Å, c = 37.4221 Å, α = 90.00°, β = 90.00° and γ = 120.00°. Symmetry generates all atoms from Rb at (0.0000, 0.0000, 0.0000), Ac at (0.0000, 0.0000, 0.1194) and Ge at (0.0000, 0.0000, 0.5000).

The total energy comes out at -0.2673 Ry/atom. The value obtained for the calculated formation energy is -18 kJ/mol of atoms.

***

First-principles (PBE) data for a geometry-optimized RbAcGe structure, as listed in Alexandria via LeMat-Bulk.

It has space group P3m1 (No. 156), with a = 4.9705 Å, b = 4.9705 Å, c = 7.1606 Å, α = 90.00°, β = 90.00° and γ = 120.00°. Symmetry generates all atoms from Rb at (0.0000, 0.0000, 0.0000), Ac at (0.6667, 0.3333, 0.5364) and Ge at (0.3333, 0.6667, 0.6894).

The total energy comes out at -0.2401 Ry/atom. The value obtained for the calculated formation energy is -3 kJ/mol of atoms.

***

First-principles (PBE) data for a geometry-optimized RbAcGeS4 structure, as listed in Alexandria via LeMat-Bulk.

It has space group P2_1/m (No. 11), with a = 6.903 Å, b = 6.813 Å, c = 9.285 Å, α = 90.00°, β = 106.65° and γ = 90.00°. Symmetry generates all atoms from Rb at (0.229, 0.250, 0.435), Ac at (0.263, 0.250, 0.947), Ge at (0.287, 0.750, 0.182), S at (0.090, 0.750, 0.332), S at (0.107, 0.750, 0.938) and S at (0.498, 0.005, 0.218).

The calculation puts the formation energy (no corrections) at -9.3 eV per formula unit. The total energy comes out at -0.3728 Ry/atom.

***

First-principles (PBE) data for a geometry-optimized Rb2AcGe2S6 structure, as listed in Alexandria via LeMat-Bulk.

It has space group C2/m (No. 12), with a = 11.487 Å, b = 7.677 Å, c = 8.568 Å, α = 90.00°, β = 107.80° and γ = 90.00°. Symmetry generates all atoms from Rb at (0.195, 0.000, 0.128), Ac at (0.000, 0.000, 0.500), Ge at (0.042, 0.500, 0.362), S at (0.040, 0.261, 0.773) and S at (0.240, 0.500, 0.464).

The calculation puts the formation energy (no corrections) at -10.3 eV per formula unit. The total energy comes out at -0.3362 Ry/atom.

***

First-principles (PBE) data for a geometry-optimized Rb3Ac3GeS8 structure, as listed in Alexandria via LeMat-Bulk.

It has space group R-3m (No. 166, hexagonal axes), with a = 8.5691 Å, b = 8.5691 Å, c = 23.6001 Å, α = 90.00°, β = 90.00° and γ = 120.00°. Symmetry generates all atoms from Rb at (0.0000, 0.5000, 0.0000), Ac at (0.0000, 0.5000, 0.5000), Ge at (0.0000, 0.0000, 0.5000), S at (0.0000, 0.0000, 0.2351) and S at (0.0495, 0.5247, 0.2270).

The calculation puts the formation energy (no corrections) at -21.6 eV per formula unit. The total energy comes out at -0.3651 Ry/atom.

***

First-principles (PBE) data for a geometry-optimized Rb4Ac3GeSe8 structure, as listed in Alexandria via LeMat-Bulk.

It has space group R-3m (No. 166, hexagonal axes), with a = 8.9874 Å, b = 8.9874 Å, c = 24.1804 Å, α = 90.00°, β = 90.00° and γ = 120.00°. Symmetry generates all atoms from Rb at (0.0000, 0.0000, 0.0000), Rb at (0.0000, 0.5000, 0.0000), Ac at (0.0000, 0.5000, 0.5000), Ge at (0.0000, 0.0000, 0.5000), Se at (0.0000, 0.0000, 0.2371) and Se at (0.0258, 0.5129, 0.2324).

The calculation puts the formation energy (no corrections) at -22.9 eV per formula unit. The total energy comes out at -0.3291 Ry/atom.

***

First-principles (PBE) data for a geometry-optimized Rb2AcGe2Se6 structure, as listed in Alexandria via LeMat-Bulk.

It has space group C2/m (No. 12), with a = 13.398 Å, b = 7.739 Å, c = 9.469 Å, α = 90.00°, β = 118.42° and γ = 90.00°. Symmetry generates all atoms from Rb at (0.214, 0.000, 0.147), Ac at (0.000, 0.000, 0.500), Ge at (0.092, 0.500, 0.290), Se at (0.013, 0.243, 0.766) and Se at (0.248, 0.500, 0.242).

The calculation puts the formation energy (no corrections) at -9.0 eV per formula unit. The total energy comes out at -0.3021 Ry/atom.

***

First-principles (PBE) data for a geometry-optimized RbAcGeSe4 structure, as listed in Alexandria via LeMat-Bulk.

It has space group P2_1/m (No. 11), with a = 7.139 Å, b = 7.130 Å, c = 9.656 Å, α = 90.00°, β = 107.34° and γ = 90.00°. Symmetry generates all atoms from Rb at (0.239, 0.250, 0.437), Ac at (0.262, 0.250, 0.946), Ge at (0.290, 0.750, 0.183), Se at (0.092, 0.750, 0.339), Se at (0.103, 0.750, 0.931) and Se at (0.492, 0.510, 0.779).

The calculation puts the formation energy (no corrections) at -8.5 eV per formula unit. The total energy comes out at -0.3377 Ry/atom.